This record from Alexandria describes an optimized crystal structure of CaMg2Pt. The functional is GGA-PBE.

abc: 4.5525 3.6376 5.8189
angles: 73.07 90.00 90.00
Atoms (fractional coordinates):
Ca: 0.5000 0.7500 0.7500
Pt: 0.5000 0.2500 0.2500
Mg: 0.0000 0.0972 0.0439
Mg: 0.0000 0.4028 0.4561

Computed properties:
Magnetic moment, μB/atom: 0.000
N(E_F), states/eV/f.u.: 1.931
Energy relative to the elements, eV/atom: -0.375
Theoretical density, g/cm3: 5.11
Space group: P2/m
Final energy, eV for the cell shown: -12.73